This record from Alexandria describes crystalline Li2WI at its relaxed geometry. The functional is PBE.

Geometry as CIF:
```
data_Li2WI
_chemical_formula_sum 'Li8 W4 I4'
_space_group_name_H-M_alt 'I -4 2 d'
_space_group_IT_number 122
_space_group_name_Hall 'I -4 2bw'
_cell_length_a 7.588
_cell_length_b 7.588
_cell_length_c 5.304
_cell_angle_alpha 90.00
_cell_angle_beta 90.00
_cell_angle_gamma 90.00
loop_
_atom_site_label
_atom_site_type_symbol
_atom_site_fract_x
_atom_site_fract_y
_atom_site_fract_z
Li1 Li 0.236 0.750 0.125
W1 W 0.000 0.000 0.500
I1 I 0.000 0.000 0.000
```

Properties
The total magnetization comes out at 0.00 μB/cell. The density is 7060 kg/m3. The uncorrected formation energy comes out at 0.968 eV per atom. The value obtained for the polymorph energy (0 for the lowest one) is 0 kJ/mol of formula units. The calculation puts the volume at 305.4 Å³ per cell.